No. 1
LaNd2DySc | PBE | relaxed

Geometry as POSCAR:
```
LaNd2DySc
1.0
9.055 0.000 0.000
0.000 6.335 0.000
-2.161 0.000 5.905
La Nd Dy Sc
2 4 2 2
Cartesian
0.000 0.000 0.000
-1.080 0.000 2.953
2.495 2.028 0.929
1.415 4.307 3.882
5.479 2.028 2.024
4.398 4.307 4.976
2.907 1.021 4.429
3.987 5.314 1.476
-1.621 3.158 4.429
-0.540 3.177 1.476
```

Values from the calculation:
symmetry: P2/c (13)
crystal system: monoclinic
E_form: 0.26 eV/atom

No. 2
LaNdDySc | PBE | relaxed

Geometry as POSCAR:
```
LaNdDySc
1.0
0.000 4.003 4.003
4.003 0.000 4.003
4.003 4.003 0.000
La Nd Dy Sc
1 1 1 1
Cartesian
0.000 0.000 0.000
4.003 4.003 4.003
6.004 6.004 6.004
2.001 2.001 2.001
```

Values from the calculation:
symmetry: F-43m (216)
energy relative to the lowest polymorph listed for this composition: 3.7 meV/atom
crystal system: cubic
E_form: 0.09 eV/atom

No. 3
La4Nd2DySc | PBE | relaxed

Geometry as POSCAR:
```
La4Nd2DySc
1.0
5.168 0.000 0.000
0.000 5.201 0.000
0.000 0.000 10.135
La Nd Dy Sc
4 2 1 1
Cartesian
0.000 0.000 2.487
0.000 0.000 7.648
2.584 2.600 2.493
2.584 2.600 7.642
0.000 2.600 0.000
2.584 0.000 5.067
0.000 2.600 5.067
2.584 0.000 0.000
```

Values from the calculation:
symmetry: Pmmm (47)
crystal system: orthorhombic
E_form: 0.03 eV/atom

No. 4
LaNdDySc | PBE | relaxed

Geometry as POSCAR:
```
LaNdDySc
1.0
6.154 -2.883 0.000
6.154 2.883 0.000
-1.177 0.000 3.639
La Nd Dy Sc
1 1 1 1
Cartesian
0.000 0.000 0.000
8.709 0.000 0.727
2.407 0.000 2.703
5.515 0.000 1.740
```

Values from the calculation:
symmetry: Cm (8)
energy relative to the lowest polymorph listed for this composition: 0.0 meV/atom
crystal system: monoclinic
E_form: 0.09 eV/atom

No. 5
La5Nd2DySc | PBE | relaxed

Geometry as POSCAR:
```
La5Nd2DySc
1.0
-4.248 4.248 8.819
4.248 -4.248 8.819
4.248 4.248 -8.819
La Nd Dy Sc
10 4 2 2
Cartesian
0.000 0.000 0.000
6.124 1.876 -2.562
1.876 2.372 -2.562
6.124 1.876 2.562
1.876 2.372 2.562
0.000 0.000 8.819
2.372 1.876 6.256
-1.876 2.372 6.256
2.372 1.876 11.381
-1.876 2.372 11.381
3.173 1.075 0.000
3.173 -1.075 8.819
1.075 5.323 0.000
1.075 3.173 8.819
0.000 0.000 4.409
0.000 0.000 13.228
4.248 0.000 4.409
0.000 4.248 4.409
```

Values from the calculation:
symmetry: I4/mcm (140)
crystal system: tetragonal
E_form: 0.27 eV/atom

No. 6
LaNd4Dy2Sc | PBE | relaxed

Geometry as POSCAR:
```
LaNd4Dy2Sc
1.0
5.082 0.000 0.000
0.000 5.102 0.000
-0.008 0.000 10.187
La Nd Dy Sc
1 4 2 1
Cartesian
0.000 0.000 0.000
5.079 2.551 2.539
-0.005 2.551 7.648
2.537 0.000 2.542
2.538 0.000 7.644
-0.004 0.000 5.093
2.537 2.551 5.093
2.541 2.551 0.000
```

Values from the calculation:
symmetry: P2/m (10)
crystal system: monoclinic
E_form: 0.03 eV/atom

No. 7
LaNd2DySe4 | PBE | relaxed

Geometry as POSCAR:
```
LaNd2DySe4
1.0
7.295 0.000 0.000
0.000 4.168 0.000
-2.386 0.000 6.964
La Nd Dy Se
1 2 1 4
Cartesian
0.000 0.000 0.000
2.455 0.000 3.482
3.648 2.084 0.000
-1.193 2.084 3.482
-0.002 0.000 5.143
1.193 2.084 1.799
3.717 2.084 5.165
4.911 0.000 1.822
```

Values from the calculation:
symmetry: P2/m (10)
formation energy (no corrections): -1851 meV/atom
crystal system: monoclinic

No. 8
La2Nd3DySe6 | PBE | relaxed

Geometry as POSCAR:
```
La2Nd3DySe6
1.0
9.211 -2.108 0.000
9.211 2.108 0.000
-1.940 0.000 8.290
La Nd Dy Se
2 3 1 6
Cartesian
2.415 0.000 2.768
14.068 0.000 5.522
1.505 0.000 6.919
8.241 0.000 4.145
14.978 0.000 1.370
9.211 0.000 0.000
-1.429 0.000 6.312
5.358 0.000 3.429
4.444 0.000 7.643
12.038 0.000 0.647
11.124 0.000 4.861
17.911 0.000 1.978
```

Values from the calculation:
symmetry: C2/m (12)
formation energy (no corrections): -1876 meV/atom
crystal system: monoclinic